First-principles (PBE-GGA) data for a geometry-optimized YMn2H2 structure, as listed in Alexandria via LeMat-Bulk.

Cell: 3.5075 3.5075 5.4948 Å, 71.39 71.39 90.00°
Last column: nearest neighbours and their distance in Å.
Fractional positions:
Mn 0.6958 0.6958 0.6085  4 H 1.83
Mn 0.3042 0.3042 0.3915  4 H 1.83
H 0.7500 0.2500 0.5000  4 Mn 1.83
H 0.2500 0.7500 0.5000  4 Mn 1.83
Y 0.0000 0.0000 0.0000  10 Mn 2.98-3.14, 8 H 3.01

Values from the calculation:
Relative energy among the computed polymorphs in eV per atom: 0.000
Symmetry: I4/mmm
Total moment in μB per atom: 1.09

---

First-principles (PBE-GGA) data for a geometry-optimized YMn2H7 structure, as listed in Alexandria via LeMat-Bulk.

Cell: 3.5232 5.2164 4.8485 Å, 122.54 90.00 90.00°
Last column: nearest neighbours and their distance in Å.
Fractional positions:
Mn 0.5000 0.3005 0.6010  7 H 1.63-1.76
Mn 0.5000 0.6995 0.3990  7 H 1.63-1.76
H 0.5000 0.3233 0.2699  2 Mn 1.67-1.71
H 0.0000 0.2958 0.5915  2 Mn 1.76
H 0.5000 0.9466 0.2699  2 Mn 1.67-1.71
H 0.5000 0.6767 0.7301  2 Mn 1.67-1.71
H 0.5000 0.5000 0.0000  2 Mn 1.63
H 0.5000 0.0534 0.7301  2 Mn 1.67-1.71
H 0.0000 0.7042 0.4085  2 Mn 1.76
Y 0.0000 0.0000 0.0000  10 H 2.30-2.42

Values from the calculation:
Final energy in eV per cell: -49.7
Symmetry: Cmmm
Total moment in μB per atom: 0.36

---

First-principles (PBE-GGA) data for a geometry-optimized Y2MnH2 structure, as listed in Alexandria via LeMat-Bulk.

Cell: 3.6224 3.6224 6.7780 Å, 74.50 74.50 90.00°
Last column: nearest neighbours and their distance in Å.
Fractional positions:
H 0.2500 0.7500 0.5000  4 Y 2.24
H 0.7500 0.2500 0.5000  4 Y 2.24
Mn 0.0000 0.0000 0.0000  8 Y 3.15
Y 0.3544 0.3544 0.2911  4 H 2.24
Y 0.6456 0.6456 0.7089  4 H 2.24

Values from the calculation:
Final energy in eV per cell: -30.1
Symmetry: I4/mmm
Total moment in μB per atom: 0.67

---

First-principles (PBE-GGA) data for a geometry-optimized YMn3H structure, as listed in Alexandria via LeMat-Bulk.

Cell: 5.4241 5.4241 5.4241 Å, 90.00 90.00 90.00°
Last column: nearest neighbours and their distance in Å.
Fractional positions:
Mn 0.0000 0.0000 0.5000  2 Y 2.71
Mn 0.5000 0.0000 0.0000  2 Y 2.71
Mn 0.0000 0.5000 0.0000  2 Y 2.71
Y 0.0000 0.0000 0.0000  6 Mn 2.71
H 0.5000 0.5000 0.5000  12 Mn 3.84

Values from the calculation:
Relative energy among the computed polymorphs in eV per atom: 1.887
Symmetry: Pm-3m
Total moment in μB per atom: 2.60

---

First-principles (PBE-GGA) data for a geometry-optimized Y2MnZnH structure, as listed in Alexandria via LeMat-Bulk.

Cell: 4.9461 4.9461 3.6879 Å, 90.00 90.00 90.00°
Last column: nearest neighbours and their distance in Å.
Fractional positions:
Zn 0.5000 0.5000 0.5000  8 Y 3.08
Y 0.0000 0.5000 0.0000  2 H 2.47
Y 0.5000 0.0000 0.0000  2 H 2.47
Mn 0.0000 0.0000 0.5000  2 H 1.84
H 0.0000 0.0000 0.0000  2 Mn 1.84

Values from the calculation:
Final energy in eV per cell: -27.6
Symmetry: P4/mmm
Total moment in μB per atom: 0.54

---

First-principles (PBE-GGA) data for a geometry-optimized MnZnH structure, as listed in Alexandria via LeMat-Bulk.

Cell: 2.7533 2.7654 8.1779 Å, 99.73 90.00 90.00°
Last column: nearest neighbours and their distance in Å.
Fractional positions:
Mn 0.7500 0.3195 0.6390  4 H 1.77-1.78
Mn 0.2500 0.6805 0.3610  4 H 1.77-1.78
Zn 0.2500 0.9292 0.8584  4 Mn 2.63, 6 Zn 2.67-2.77
Zn 0.7500 0.0708 0.1416  4 Mn 2.63, 6 Zn 2.67-2.77
H 0.7500 0.7507 0.5015  4 Mn 1.77-1.78, 4 H 1.95
H 0.2500 0.2493 0.4985  4 Mn 1.77-1.78, 4 H 1.95

Values from the calculation:
Relative energy among the computed polymorphs in eV per atom: 0.031
Symmetry: Cmcm
Total moment in μB per atom: 0.83

---

First-principles (PBE-GGA) data for a geometry-optimized MnZn2H5 structure, as listed in Alexandria via LeMat-Bulk.

Cell: 3.1986 4.7752 4.7751 Å, 86.39 70.43 70.43°
Last column: nearest neighbours and their distance in Å.
Fractional positions:
H 0.0327 0.7499 0.2545  1 Mn 1.65
H 0.7488 0.2854 0.2854  1 Mn 1.65, 2 Zn 1.85
H 0.2813 0.7535 0.7535  1 Mn 1.63
H 0.0327 0.2545 0.7500  1 Mn 1.65
H 0.4219 0.1126 0.1126  2 Mn 1.70
Zn 0.7329 0.0194 0.5839  4 H 1.85-2.04
Zn 0.7329 0.5839 0.0194  4 H 1.85-2.04
Mn 0.0169 0.0178 0.0178  6 H 1.63-1.70

Values from the calculation:
Final energy in eV per cell: -28.5
Symmetry: Imm2
Total moment in μB per atom: 0.00

---

First-principles (PBE-GGA) data for a geometry-optimized MnZnH structure, as listed in Alexandria via LeMat-Bulk.

Cell: 2.8233 2.8233 4.3476 Å, 90.00 90.00 120.00°
Last column: nearest neighbours and their distance in Å.
Fractional positions:
H 0.3333 0.6667 0.5705  3 Mn 1.71
Zn 0.0000 0.0000 0.9740  3 H 2.39, 3 Mn 2.65
Mn 0.6667 0.3333 0.4555  3 H 1.71

Values from the calculation:
Relative energy among the computed polymorphs in eV per atom: 0.000
Symmetry: P3m1
Total moment in μB per atom: 0.85

---

First-principles (PBE-GGA) data for a geometry-optimized Mn2ZnH structure, as listed in Alexandria via LeMat-Bulk.

Cell: 2.5404 2.5404 6.0496 Å, 90.00 90.00 90.00°
Last column: nearest neighbours and their distance in Å.
Fractional positions:
Zn 0.5000 0.5000 0.5000  4 Zn 2.54, 8 Mn 2.67
Mn 0.0000 0.0000 0.8276  4 H 2.08, 1 Mn 2.09
Mn 0.0000 0.0000 0.1724  4 H 2.08, 1 Mn 2.09
H 0.5000 0.5000 0.0000  8 Mn 2.08

Values from the calculation:
Relative energy among the computed polymorphs in eV per atom: 0.305
Symmetry: P4/mmm
Total moment in μB per atom: 0.44

---

First-principles (PBE-GGA) data for a geometry-optimized Mn3ZnH structure, as listed in Alexandria via LeMat-Bulk.

Cell: 3.7099 3.7099 3.7099 Å, 90.00 90.00 90.00°
Last column: nearest neighbours and their distance in Å.
Fractional positions:
H 0.0000 0.0000 0.0000  6 Mn 1.85
Zn 0.5000 0.5000 0.5000  12 Mn 2.62
Mn 0.5000 0.0000 0.0000  2 H 1.85
Mn 0.0000 0.0000 0.5000  2 H 1.85
Mn 0.0000 0.5000 0.0000  2 H 1.85

Values from the calculation:
Relative energy among the computed polymorphs in eV per atom: 0.000
Symmetry: Pm-3m
Total moment in μB per atom: 1.16

---

First-principles (PBE-GGA) data for a geometry-optimized Mn2ZnH structure, as listed in Alexandria via LeMat-Bulk.

Cell: 2.6351 2.6351 6.4924 Å, 78.29 78.29 60.00°
Last column: nearest neighbours and their distance in Å.
Fractional positions:
Mn 0.0524 0.0524 0.8427  3 H 1.81
Mn 0.2806 0.2806 0.1583  3 H 1.83
Zn 0.4997 0.4997 0.5008  6 Zn 2.64, 6 Mn 2.64
H 0.6673 0.6673 0.9982  6 Mn 1.81-1.83

Values from the calculation:
Relative energy among the computed polymorphs in eV per atom: 0.000
Symmetry: R3m
Total moment in μB per atom: 0.01